A plane-wave DFT calculation with PBE was carried out for crystalline MgMnRuPt at its relaxed geometry.

Its energy is -6.772 eV per atom. The calculation puts the formation energy at -0.252 eV per atom. The theoretical density comes out at 10.70 Mg/m³.

It has space group F-43m (No. 216), with a = 6.1547 Å, b = 6.1547 Å, c = 6.1547 Å, α = 90.00°, β = 90.00° and γ = 90.00°. The asymmetric unit holds Mg at (0.0000, 0.0000, 0.0000), Mn at (0.0000, 0.0000, 0.5000), Ru at (0.2500, 0.2500, 0.2500) and Pt at (0.2500, 0.2500, 0.7500).